Compound: HfGeMoO6
Source: Alexandria
Functional: PBE with a Hubbard U
Structure: relaxed Values from VASP.

* energy: -143.4 eV for the cell shown
* total moment: 2.0 μB per formula unit

Cell and atoms, written as Quantum ESPRESSO input:
```
&SYSTEM
  ibrav = 0, nat = 18, ntyp = 4
/
ATOMIC_SPECIES
Hf 178.49 Hf.upf
Ge 72.64 Ge.upf
Mo 95.94 Mo.upf
O 16.00 O.upf
CELL_PARAMETERS angstrom
-1.170 4.521 -0.590
-4.501 -1.243 -0.596
-1.448 0.828 9.212
ATOMIC_POSITIONS crystal
Hf 0.500 0.500 0.170
Hf 0.000 0.000 0.670
Ge 0.500 0.500 0.833
Ge 0.000 0.000 0.333
Mo 0.500 0.500 0.499
Mo 0.000 0.000 0.999
O 0.192 0.808 0.490
O 0.808 0.192 0.490
O 0.308 0.308 0.990
O 0.692 0.692 0.990
O 0.188 0.812 0.176
O 0.812 0.188 0.176
O 0.312 0.312 0.676
O 0.688 0.688 0.676
O 0.790 0.210 0.832
O 0.210 0.790 0.832
O 0.710 0.710 0.332
O 0.290 0.290 0.332
```